# 1
The following is a PBE calculation of an optimized crystal structure of Na2Sn2Au15, from Alexandria.

The calculated formation energy comes out at -0.1323 eV/atom. For the density of states at the Fermi level, the calculation gives 0.288 states/eV per atom. The total energy is -186.95 eV for the cell shown.

Lattice parameters (Å, degrees): 9.8591 9.8591 14.0337 90.00 90.00 120.00
Closest atoms and distances in Å follow each position.
Space group R-3m (No. 166, hexagonal axes)
Unique sites:
1 Na 0.0000 0.0000 0.1390 (multiplicity 6)  12 Au 3.27-3.43, 1 Sn 3.63
2 Sn 0.0000 0.0000 0.3978 (multiplicity 6)  1 Sn 2.87, 6 Au 2.99-3.02
3 Au 0.0000 0.3410 0.5000 (multiplicity 18)  7 Au 2.84-3.14
4 Au 0.0000 0.5000 0.0000 (multiplicity 9)  8 Au 2.87-2.88, 2 Sn 2.99
5 Au 0.0049 0.5025 0.6689 (multiplicity 18)  8 Au 2.80-2.87, 1 Sn 3.02


# 2
The following is a PBE calculation of an optimized crystal structure of Na2Sn3Au4, from Alexandria.

The calculated formation energy comes out at -0.2764 eV/atom. For the density of states at the Fermi level, the calculation gives 0.288 states/eV per atom. The total energy is -60.49 eV for the cell shown.

Lattice parameters (Å, degrees): 7.4462 7.5920 7.7578 90.00 107.72 90.00
Closest atoms and distances in Å follow each position.
Space group P2_1/c (No. 14)
Unique sites:
1 Na 0.1863 0.1768 0.0582 (multiplicity 4)  7 Au 3.11-3.40
2 Sn 0.2403 0.6487 0.2557 (multiplicity 4)  6 Au 2.77-3.07
3 Sn 0.5000 0.0000 0.5000 (multiplicity 2)  6 Au 2.93-3.00
4 Au 0.0898 0.5445 0.8557 (multiplicity 4)  4 Sn 2.77-3.07, 1 Au 3.01
5 Au 0.4872 0.6316 0.6345 (multiplicity 4)  5 Sn 2.85-3.00, 1 Au 2.94, 1 Na 3.17


# 3
The following is a PBE calculation of an optimized crystal structure of NaSn3Au4, from Alexandria.

The calculated formation energy comes out at -0.1527 eV/atom. For the density of states at the Fermi level, the calculation gives 0.492 states/eV per atom. The total energy is -55.32 eV for the cell shown.

Lattice parameters (Å, degrees): 8.6616 8.0513 5.7503 90.00 90.00 90.00
Closest atoms and distances in Å follow each position.
Space group Pmn2_1 (No. 31)
Unique sites:
1 Na 0.0000 0.0363 0.0000 (multiplicity 2)  5 Au 3.08-3.29, 2 Sn 3.25-3.34
2 Sn 0.0000 0.8362 0.5085 (multiplicity 2)  4 Au 2.71-2.82
3 Sn 0.2004 0.3698 0.2308 (multiplicity 4)  4 Au 2.81-2.84
4 Au 0.0000 0.1732 0.4996 (multiplicity 2)  3 Sn 2.71-2.81, 2 Au 2.81
5 Au 0.0000 0.6541 0.9284 (multiplicity 2)  3 Sn 2.82-2.84, 2 Au 2.89, 1 Na 3.10
6 Au 0.2461 0.7142 0.2583 (multiplicity 4)  3 Sn 2.75-2.84, 2 Au 2.81-2.89


# 4
The following is a PBE calculation of an optimized crystal structure of Na5SnAu2, from Alexandria.

The calculated formation energy comes out at -0.1599 eV/atom. For the density of states at the Fermi level, the calculation gives 0.419 states/eV per atom. The total energy is -36.86 eV for the cell shown.

Lattice parameters (Å, degrees): 4.7756 9.2861 9.4694 90.00 90.00 90.00
Closest atoms and distances in Å follow each position.
Space group Immm (No. 71)
Unique sites:
1 Na 0.0000 0.0000 0.0000 (multiplicity 2)  2 Au 3.08, 8 Na 3.37
2 Na 0.0000 0.3262 0.3163 (multiplicity 8)  3 Au 3.03-3.18, 5 Na 3.05-3.37
3 Sn 0.0000 0.5000 0.0000 (multiplicity 2)  4 Au 2.90
4 Au 0.0000 0.0000 0.3256 (multiplicity 4)  2 Sn 2.90, 7 Na 3.03-3.18